No. 1
This record from Alexandria via LeMat-Bulk describes an optimized crystal structure of LiNbS2Cl. The functional is GGA-PBE.

Calculated values
- Total magnetization: 0.00 μB/f.u.
- Fermi-level density of states: 2.73 states/eV per cell
- Distance to the lowest polymorph of the same formula: 0.0 meV per atom
- V: 116 Å³/cell

Cell lengths 4.828, 4.828, 4.964 Å; angles 90.00, 90.00, 90.00 degrees
Atoms (fractional coordinates):
Li: 0.000 0.000 0.000
Nb: 0.500 0.500 0.500
S: 0.000 0.500 0.500
S: 0.500 0.000 0.500
Cl: 0.500 0.500 0.000

No. 2
This record from Alexandria via LeMat-Bulk describes an optimized crystal structure of Mg9Si5. The functional is GGA-PBE.

Calculated values
- Total magnetization: 0.00 μB/f.u.
- Fermi-level density of states: 3.18 states/eV per cell
- Distance to the lowest polymorph of the same formula: 55.2 meV per atom
- V: 562 Å³/cell

Cell lengths 7.210, 7.210, 13.132 Å; angles 90.20, 105.57, 119.96 degrees
Atoms (fractional coordinates):
Mg: 0.000 0.000 0.000
Mg: 0.002 0.335 0.169
Mg: 0.027 0.526 0.690
Mg: 0.166 0.062 0.331
Mg: 0.205 0.638 0.000
Mg: 0.252 0.973 0.843
Mg: 0.346 0.518 0.494
Mg: 0.391 0.299 0.690
Mg: 0.425 0.804 0.331
Mg: 0.472 0.103 0.170
Mg: 0.508 0.710 0.842
Mg: 0.616 0.267 0.490
Mg: 0.640 0.435 0.001
Mg: 0.704 0.803 0.170
Mg: 0.770 0.232 0.842
Mg: 0.808 0.937 0.691
Mg: 0.859 0.789 0.488
Mg: 0.911 0.543 0.332
Si: 0.058 0.747 0.166
Si: 0.179 0.306 0.846
Si: 0.272 0.858 0.492
Si: 0.359 0.397 0.118
Si: 0.405 0.918 0.682
Si: 0.493 0.466 0.319
Si: 0.618 0.025 0.006
Si: 0.836 0.136 0.335
Si: 0.841 0.637 0.838
Si: 0.972 0.206 0.536

No. 3
This record from Alexandria via LeMat-Bulk describes an optimized crystal structure of DyErCdIn. The functional is GGA-PBE.

Calculated values
- Total magnetization: 0.00 μB/f.u.
- ΔH_f (0 K): -399 meV/atom
- Fermi-level density of states: 15.40 states/eV per cell
- V: 416 Å³/cell

Cell lengths 7.465, 7.465, 7.465 Å; angles 90.00, 90.00, 90.00 degrees
Atoms (fractional coordinates):
Dy: 0.000 0.000 0.000
Dy: 0.000 0.500 0.500
Dy: 0.500 0.000 0.500
Dy: 0.500 0.500 0.000
Er: 0.000 0.000 0.500
Er: 0.000 0.500 0.000
Er: 0.500 0.000 0.000
Er: 0.500 0.500 0.500
Cd: 0.250 0.250 0.750
Cd: 0.250 0.750 0.250
Cd: 0.750 0.250 0.250
Cd: 0.750 0.750 0.750
In: 0.250 0.250 0.250
In: 0.250 0.750 0.750
In: 0.750 0.250 0.750
In: 0.750 0.750 0.250

No. 4
This record from Alexandria via LeMat-Bulk describes an optimized crystal structure of Be2MoAs. The functional is GGA-PBE.

Calculated values
- Total magnetization: 0.00 μB/f.u.
- ΔH_f (0 K): 23 meV/atom
- Fermi-level density of states: 1.74 states/eV per cell
- V: 50 Å³/cell

Cell lengths 3.204, 3.204, 4.892 Å; angles 90.00, 90.00, 90.00 degrees
Atoms (fractional coordinates):
Be: 0.000 0.000 0.000
Be: 0.500 0.500 0.214
Mo: 0.000 0.000 0.483
As: 0.500 0.500 0.737

No. 5
This record from Alexandria via LeMat-Bulk describes an optimized crystal structure of Tb2PmY2Ho. The functional is GGA-PBE.

Calculated values
- Total magnetization: 0.00 μB/f.u.
- ΔH_f (0 K): 286 meV/atom
- Fermi-level density of states: 21.63 states/eV per cell
- V: 398 Å³/cell

Cell lengths 6.669, 17.628, 3.383 Å; angles 90.00, 90.00, 90.00 degrees
Atoms (fractional coordinates):
Tb: 0.239 0.176 0.000
Tb: 0.261 0.676 0.500
Tb: 0.739 0.324 0.500
Tb: 0.761 0.824 0.000
Pm: 0.000 0.000 0.000
Pm: 0.500 0.500 0.500
Y: 0.235 0.347 0.500
Y: 0.265 0.847 0.000
Y: 0.735 0.153 0.000
Y: 0.765 0.653 0.500
Ho: 0.000 0.500 0.000
Ho: 0.500 0.000 0.500

No. 6
This record from Alexandria via LeMat-Bulk describes an optimized crystal structure of Nd4Ge7. The functional is GGA-PBE.

Calculated values
- Total magnetization: 0.00 μB/f.u.
- ΔH_f (0 K): -730 meV/atom
- Fermi-level density of states: 7.54 states/eV per cell
- V: 512 Å³/cell

Cell lengths 7.638, 7.638, 12.084 Å; angles 90.00, 90.00, 133.48 degrees
Atoms (fractional coordinates):
Nd: 0.004 0.996 0.750
Nd: 0.019 0.509 0.120
Nd: 0.486 0.486 0.500
Nd: 0.491 0.981 0.380
Nd: 0.509 0.019 0.880
Nd: 0.514 0.514 0.000
Nd: 0.981 0.491 0.620
Nd: 0.996 0.004 0.250
Ge: 0.070 0.893 0.490
Ge: 0.080 0.425 0.371
Ge: 0.107 0.930 0.010
Ge: 0.182 0.476 0.836
Ge: 0.425 0.080 0.629
Ge: 0.439 0.561 0.250
Ge: 0.476 0.182 0.164
Ge: 0.524 0.818 0.664
Ge: 0.561 0.439 0.750
Ge: 0.575 0.920 0.129
Ge: 0.818 0.524 0.336
Ge: 0.893 0.070 0.510
Ge: 0.920 0.575 0.871
Ge: 0.930 0.107 0.990